1.
Compound: BaV2I
Source: Alexandria
Functional: PBE-GGA
Structure: optimized geometry

For the electronic total energy, the calculation gives -4.495 eV per atom. For the uncorrected formation energy, the calculation gives 0.932 eV/atom. For the energy above the most stable polymorph in this dataset, the calculation gives 0.000 eV/atom.

It has space group I-42d (No. 122), with a = 8.907 Å, b = 8.907 Å, c = 6.663 Å, α = 90.00°, β = 90.00° and γ = 90.00°. Symmetry generates all atoms from Ba at (0.000, 0.000, 0.000), V at (0.190, 0.250, 0.625) and I at (0.000, 0.000, 0.500).

***

2.
Compound: Zn2Pb2F
Source: Alexandria
Functional: PBE-GGA
Structure: optimized geometry

For the electronic total energy, the calculation gives -2.776 eV per atom. For the uncorrected formation energy, the calculation gives -0.408 eV/atom. For the energy above the most stable polymorph in this dataset, the calculation gives 0.007 eV/atom.

It has space group I4/mmm (No. 139), with a = 3.531 Å, b = 3.531 Å, c = 17.445 Å, α = 90.00°, β = 90.00° and γ = 90.00°. Symmetry generates all atoms from Zn at (0.000, 0.500, 0.250), Pb at (0.000, 0.000, 0.096) and F at (0.000, 0.000, 0.500).

***

3.
Compound: RbFeHg2
Source: Alexandria
Functional: PBE-GGA
Structure: optimized geometry

For the electronic total energy, the calculation gives -2.112 eV per atom. For the formation energy, the calculation gives 0.40 eV/atom. For the energy above the most stable polymorph in this dataset, the calculation gives 0.000 eV/atom.

It has space group I-42d (No. 122), with a = 6.027 Å, b = 6.027 Å, c = 17.011 Å, α = 90.00°, β = 90.00° and γ = 90.00°. Symmetry generates all atoms from Rb at (0.000, 0.000, 0.000), Fe at (0.000, 0.000, 0.500) and Hg at (0.032, 0.250, 0.625).

***

4.
Compound: Sm2DyAl2Zn2
Source: Alexandria
Functional: PBE-GGA
Structure: optimized geometry

For the electronic total energy, the calculation gives -3.755 eV per atom. For the formation energy, the calculation gives -0.32 eV/atom.

It has space group R-3m (No. 166, hexagonal axes), with a = 4.5215 Å, b = 4.5215 Å, c = 27.7327 Å, α = 90.00°, β = 90.00° and γ = 120.00°. Symmetry generates all atoms from Sm at (0.0000, 0.0000, 0.1265), Dy at (0.0000, 0.0000, 0.0000), Al at (0.0000, 0.0000, 0.2675) and Zn at (0.0000, 0.0000, 0.3943).

***

5.
Compound: TmCdIrO6
Source: Alexandria
Functional: PBE-GGA
Structure: optimized geometry

For the electronic total energy, the calculation gives -6.325 eV per atom. For the uncorrected formation energy, the calculation gives -1.436 eV/atom.

It has space group P-31c (No. 163), with a = 5.5041 Å, b = 5.5041 Å, c = 9.2081 Å, α = 90.00°, β = 90.00° and γ = 120.00°. Symmetry generates all atoms from Tm at (0.3333, 0.6667, 0.2500), Cd at (0.0000, 0.0000, 0.0000), Ir at (0.3333, 0.6667, 0.7500) and O at (0.0383, 0.3812, 0.6327).

***

6.
Compound: KNpSb
Source: Alexandria
Functional: PBE-GGA
Structure: optimized geometry

For the electronic total energy, the calculation gives -5.732 eV per atom. For the uncorrected formation energy, the calculation gives 0.321 eV/atom.

It has space group C2/m (No. 12), with a = 13.359 Å, b = 3.360 Å, c = 11.437 Å, α = 90.00°, β = 122.94° and γ = 90.00°. Symmetry generates all atoms from K at (0.209, 0.000, 0.296), Np at (0.182, 0.500, 0.932) and Sb at (0.018, 0.500, 0.378).

***

7.
Compound: VCrBr
Source: Alexandria
Functional: PBE-GGA
Structure: optimized geometry

For the electronic total energy, the calculation gives -6.897 eV per atom. For the uncorrected formation energy, the calculation gives -0.092 eV/atom. For the energy above the most stable polymorph in this dataset, the calculation gives 0.002 eV/atom.

It has space group P2_1/m (No. 11), with a = 3.244 Å, b = 3.898 Å, c = 9.343 Å, α = 90.00°, β = 99.16° and γ = 90.00°. Symmetry generates all atoms from V at (0.092, 0.250, 0.094), Cr at (0.414, 0.250, 0.886) and Br at (0.324, 0.750, 0.689).

***

8.
Compound: Cd3Rh
Source: Alexandria
Functional: PBE-GGA
Structure: optimized geometry

For the electronic total energy, the calculation gives -2.488 eV per atom. For the formation energy, the calculation gives 0.04 eV/atom.

It has space group Pm-3n (No. 223), with a = 5.362 Å, b = 5.362 Å, c = 5.362 Å, α = 90.00°, β = 90.00° and γ = 90.00°. Symmetry generates all atoms from Cd at (0.000, 0.250, 0.500) and Rh at (0.000, 0.000, 0.000).

***

9.
Compound: Pr5Te4Ru
Source: Alexandria
Functional: PBE-GGA
Structure: optimized geometry

For the electronic total energy, the calculation gives -5.740 eV per atom. For the uncorrected formation energy, the calculation gives -1.166 eV/atom.

It has space group I4/m (No. 87), with a = 10.038 Å, b = 10.038 Å, c = 6.433 Å, α = 90.00°, β = 90.00° and γ = 90.00°. Symmetry generates all atoms from Pr at (0.000, 0.000, 0.000), Pr at (0.091, 0.739, 0.500), Te at (0.090, 0.692, 0.000) and Ru at (0.000, 0.000, 0.500).

***

10.
Compound: HgTeMoAu
Source: Alexandria
Functional: PBE-GGA
Structure: optimized geometry

For the electronic total energy, the calculation gives -4.203 eV per atom. For the uncorrected formation energy, the calculation gives 0.185 eV/atom. For the energy above the most stable polymorph in this dataset, the calculation gives 0.000 eV/atom.

It has space group Cm (No. 8), with a = 4.628 Å, b = 4.627 Å, c = 8.461 Å, α = 90.00°, β = 105.74° and γ = 90.00°. Symmetry generates all atoms from Hg at (0.000, 0.000, 0.000), Te at (0.191, 0.000, 0.373), Mo at (0.282, 0.500, 0.557) and Au at (0.391, 0.000, 0.778).

***

11.
Compound: Pm2Nd3Hg7
Source: Alexandria
Functional: PBE-GGA
Structure: optimized geometry

For the electronic total energy, the calculation gives -2.490 eV per atom. For the formation energy, the calculation gives -0.33 eV/atom.

It has space group Cmmm (No. 65), with a = 5.252 Å, b = 23.567 Å, c = 5.593 Å, α = 90.00°, β = 90.00° and γ = 90.00°. Symmetry generates all atoms from Pm at (0.000, 0.142, 0.000), Nd at (0.000, 0.330, 0.500), Nd at (0.000, 0.500, 0.500), Hg at (0.000, 0.000, 0.000), Hg at (0.000, 0.084, 0.500), Hg at (0.000, 0.276, 0.000) and Hg at (0.000, 0.426, 0.000).

***

- Look up the electronic total energy of the third one.
  -2.112 eV per atom